Below is AcHoAs2Rh5 after structural relaxation, with properties calculated at the PBE level.

The structure in POSCAR format:
```
AcHoAs2Rh5
1.0
4.159 0.000 0.000
0.000 4.159 0.000
0.000 0.000 11.072
Ac Ho As Rh
1 1 2 5
direct
0.000 0.000 0.500 Ac
0.000 0.000 0.000 Ho
0.500 0.500 0.284 As
0.500 0.500 0.716 As
0.000 0.500 0.180 Rh
0.500 0.000 0.180 Rh
0.000 0.500 0.820 Rh
0.500 0.000 0.820 Rh
0.500 0.500 0.500 Rh
```

Properties
total energy: -60.2 eV for the cell shown

Below is Ac2HoAs2S2 after structural relaxation, with properties calculated at the PBE level.

The structure in POSCAR format:
```
Ac2HoAs2S2
1.0
-2.718 -1.974 4.068
-0.307 -4.655 -2.464
8.058 1.130 2.511
Ac Ho As S
2 1 2 2
direct
0.365 0.365 0.730 Ac
0.635 0.635 0.270 Ac
0.000 0.000 0.000 Ho
0.000 0.500 0.000 As
0.500 0.000 0.000 As
0.180 0.180 0.360 S
0.820 0.820 0.640 S
```

Properties
energy relative to the elements, uncorrected: -1.37 eV/atom

Below is AcHoAsSe after structural relaxation, with properties calculated at the PBE level.

The structure in POSCAR format:
```
AcHoAsSe
1.0
-1.429 3.846 -0.855
-1.295 -3.270 -2.278
-4.339 -2.536 6.107
Ac Ho As Se
1 1 1 1
direct
0.124 0.960 0.099 Ac
0.484 0.140 0.639 Ho
0.288 0.542 0.845 As
0.983 0.389 0.387 Se
```

Properties
energy relative to the elements, uncorrected: -1.57 eV/atom

Below is Ac2SmHoAs4 after structural relaxation, with properties calculated at the PBE level.

The structure in POSCAR format:
```
Ac2SmHoAs4
1.0
-1.199 3.899 1.529
-6.657 -0.677 -3.496
-4.936 -3.332 4.626
Ac Sm Ho As
2 1 1 4
direct
0.000 0.000 0.000 Ac
0.500 0.000 0.500 Ac
0.500 0.500 0.000 Sm
0.000 0.500 0.500 Ho
0.000 0.730 0.753 As
0.000 0.270 0.247 As
0.500 0.728 0.260 As
0.500 0.272 0.740 As
```

Properties
total energy: -47.9 eV for the cell shown

Below is AcTb2HoAs4 after structural relaxation, with properties calculated at the PBE level.

The structure in POSCAR format:
```
AcTb2HoAs4
1.0
4.241 0.000 0.000
0.000 7.343 -0.150
0.000 2.579 6.875
Ac Tb Ho As
1 2 1 4
direct
0.500 0.500 0.000 Ac
0.000 0.000 0.000 Tb
0.500 0.000 0.500 Tb
0.000 0.500 0.500 Ho
0.000 0.764 0.734 As
0.000 0.236 0.266 As
0.500 0.756 0.259 As
0.500 0.244 0.741 As
```

Properties
total energy: -48.3 eV for the cell shown

Below is Ac2TbHoAs4 after structural relaxation, with properties calculated at the PBE level.

The structure in POSCAR format:
```
Ac2TbHoAs4
1.0
-3.449 0.765 -2.517
-4.435 -3.348 5.058
-2.465 5.101 4.928
Ac Tb Ho As
2 1 1 4
direct
0.000 0.000 0.000 Ac
0.500 0.000 0.500 Ac
0.500 0.500 0.000 Tb
0.000 0.500 0.500 Ho
0.000 0.727 0.756 As
0.000 0.273 0.244 As
0.500 0.727 0.259 As
0.500 0.273 0.741 As
```

Properties
total energy: -47.8 eV for the cell shown

Below is Ac4HoTh3As8 after structural relaxation, with properties calculated at the PBE level.

The structure in POSCAR format:
```
Ac4HoTh3As8
1.0
8.719 0.000 0.000
0.000 8.784 0.039
-4.359 -4.355 6.168
Ac Ho Th As
4 1 3 8
direct
0.500 0.000 0.000 Ac
0.500 0.000 0.500 Ac
0.000 0.000 0.000 Ac
0.000 0.000 0.500 Ac
0.000 0.500 0.000 Ho
0.500 0.500 0.000 Th
0.500 0.500 0.500 Th
0.000 0.500 0.500 Th
0.242 0.729 0.987 As
0.242 0.729 0.483 As
0.256 0.269 0.513 As
0.746 0.729 0.987 As
0.254 0.271 0.013 As
0.744 0.731 0.487 As
0.758 0.271 0.517 As
0.758 0.271 0.013 As
```

Properties
total energy: -103.7 eV for the cell shown

Below is AcHo2ThAs4 after structural relaxation, with properties calculated at the PBE level.

The structure in POSCAR format:
```
AcHo2ThAs4
1.0
-0.924 3.062 2.803
-4.087 -4.726 3.815
4.202 -3.364 5.059
Ac Ho Th As
1 2 1 4
direct
0.500 0.500 0.000 Ac
0.000 0.000 0.000 Ho
0.500 0.000 0.500 Ho
0.000 0.500 0.500 Th
0.000 0.768 0.735 As
0.000 0.232 0.265 As
0.500 0.763 0.254 As
0.500 0.237 0.746 As
```

Properties
total energy: -51.0 eV for the cell shown

Below is Ac2HoTmAs4 after structural relaxation, with properties calculated at the PBE level.

The structure in POSCAR format:
```
Ac2HoTmAs4
1.0
-1.651 -3.873 0.972
4.787 -0.606 5.711
-3.104 2.872 6.170
Ac Ho Tm As
2 1 1 4
direct
0.000 0.000 0.000 Ac
0.500 0.000 0.500 Ac
0.500 0.500 0.000 Ho
0.000 0.500 0.500 Tm
0.000 0.725 0.757 As
0.000 0.275 0.243 As
0.500 0.724 0.260 As
0.500 0.276 0.740 As
```

Properties
total energy: -47.5 eV for the cell shown

Below is AcHo2TmAs4 after structural relaxation, with properties calculated at the PBE level.

The structure in POSCAR format:
```
AcHo2TmAs4
1.0
-0.378 -0.174 4.194
3.263 -6.529 0.023
7.206 0.898 0.687
Ac Ho Tm As
1 2 1 4
direct
0.500 0.500 0.000 Ac
0.000 0.000 0.000 Ho
0.500 0.000 0.500 Ho
0.000 0.500 0.500 Tm
0.000 0.766 0.733 As
0.000 0.234 0.267 As
0.500 0.756 0.260 As
0.500 0.244 0.740 As
```

Properties
total energy: -48.0 eV for the cell shown

Below is AcY2HoAs4 after structural relaxation, with properties calculated at the PBE level.

The structure in POSCAR format:
```
AcY2HoAs4
1.0
4.234 0.000 0.000
0.000 7.329 -0.149
0.000 2.575 6.864
Ac Y Ho As
1 2 1 4
direct
0.500 0.500 0.000 Ac
0.000 0.000 0.000 Y
0.500 0.000 0.500 Y
0.000 0.500 0.500 Ho
0.000 0.765 0.734 As
0.000 0.235 0.266 As
0.500 0.756 0.259 As
0.500 0.244 0.741 As
```

Properties
total energy: -52.1 eV for the cell shown

Below is Ac2YHoAs4 after structural relaxation, with properties calculated at the PBE level.

The structure in POSCAR format:
```
Ac2YHoAs4
1.0
4.335 0.000 0.000
0.000 7.503 -0.150
0.000 2.639 7.025
Ac Y Ho As
2 1 1 4
direct
0.000 0.000 0.000 Ac
0.500 0.000 0.500 Ac
0.500 0.500 0.000 Y
0.000 0.500 0.500 Ho
0.000 0.727 0.757 As
0.000 0.273 0.243 As
0.500 0.726 0.259 As
0.500 0.274 0.741 As
```

Properties
total energy: -49.7 eV for the cell shown

Below is AcAsI6 after structural relaxation, with properties calculated at the PBE level.

The structure in POSCAR format:
```
AcAsI6
1.0
7.649 0.010 0.011
3.816 6.630 0.015
3.812 2.203 6.978
Ac As I
1 1 6
direct
0.500 0.500 0.500 Ac
0.000 0.000 0.000 As
0.061 0.400 0.764 I
0.775 0.061 0.764 I
0.600 0.225 0.236 I
0.225 0.939 0.236 I
0.939 0.600 0.236 I
0.400 0.775 0.764 I
```

Properties
energy relative to the elements, uncorrected: -0.76 eV/atom

Below is AcAs2I8 after structural relaxation, with properties calculated at the PBE level.

The structure in POSCAR format:
```
AcAs2I8
1.0
-3.701 0.630 7.259
-2.694 -8.481 1.855
6.146 -3.167 5.901
Ac As I
1 2 8
direct
0.000 0.000 0.000 Ac
0.623 0.826 0.826 As
0.377 0.174 0.174 As
0.212 0.281 0.890 I
0.788 0.110 0.719 I
0.309 0.784 0.784 I
0.691 0.216 0.216 I
0.212 0.890 0.281 I
0.788 0.719 0.110 I
0.820 0.650 0.650 I
0.180 0.350 0.350 I
```

Properties
energy relative to the elements, uncorrected: -0.51 eV/atom

Below is AcAsI after structural relaxation, with properties calculated at the PBE level.

The structure in POSCAR format:
```
AcAsI
1.0
-5.976 -2.231 -2.040
1.935 -4.409 -0.847
-1.886 1.040 4.389
I Ac As
1 1 1
direct
0.598 0.333 0.667 I
0.289 0.667 0.333 Ac
0.113 0.000 0.000 As
```

Properties
distance to the lowest polymorph of the same formula: 0.308 eV/f.u.
energy relative to the elements, uncorrected: -0.82 eV/atom

Below is Ac2AsI after structural relaxation, with properties calculated at the PBE level.

The structure in POSCAR format:
```
Ac2AsI
1.0
3.956 0.000 0.000
0.000 3.956 0.000
0.000 0.000 8.100
I Ac As
1 2 1
direct
0.500 0.500 0.500 I
0.000 0.000 0.778 Ac
0.000 0.000 0.222 Ac
0.500 0.500 0.000 As
```

Properties
distance to the lowest polymorph of the same formula: 0.824 eV/f.u.
energy relative to the elements, uncorrected: -1.07 eV/atom

Below is Ac3AsI after structural relaxation, with properties calculated at the PBE level.

The structure in POSCAR format:
```
Ac3AsI
1.0
6.038 0.000 0.000
0.000 6.038 0.000
0.000 0.000 6.038
I Ac As
1 3 1
direct
0.500 0.500 0.500 I
0.000 0.500 0.000 Ac
0.000 0.000 0.500 Ac
0.500 0.000 0.000 Ac
0.000 0.000 0.000 As
```

Properties
energy relative to the elements, uncorrected: -0.43 eV/atom

Below is Ac4AsI5 after structural relaxation, with properties calculated at the PBE level.

The structure in POSCAR format:
```
Ac4AsI5
1.0
4.401 0.000 -0.958
-0.477 9.278 -2.190
-0.022 0.114 10.485
Ac As I
4 1 5
direct
0.651 0.076 0.302 Ac
0.999 0.217 0.998 Ac
0.349 0.924 0.698 Ac
0.001 0.783 0.002 Ac
0.500 0.000 0.000 As
0.167 0.342 0.333 I
0.172 0.821 0.344 I
0.828 0.179 0.656 I
0.500 0.500 0.000 I
0.833 0.658 0.667 I
```

Properties
energy relative to the elements, uncorrected: -1.36 eV/atom

Below is Ac2AsI after structural relaxation, with properties calculated at the PBE level.

The structure in POSCAR format:
```
Ac2AsI
1.0
-3.803 1.858 -1.337
-2.446 -1.964 -3.140
-6.292 -4.349 4.484
Ac As I
2 1 1
direct
0.068 0.068 0.797 Ac
0.265 0.265 0.204 Ac
0.668 0.668 0.997 As
0.499 0.499 0.503 I
```

Properties
distance to the lowest polymorph of the same formula: 0.000 eV/f.u.
energy relative to the elements, uncorrected: -1.28 eV/atom

Below is Ac4As3I after structural relaxation, with properties calculated at the PBE level.

The structure in POSCAR format:
```
Ac4As3I
1.0
-2.049 2.280 -3.379
-0.267 -6.678 -4.347
-6.814 -3.842 1.538
I Ac As
1 4 3
direct
0.500 0.500 0.000 I
0.000 0.774 0.726 Ac
0.500 0.761 0.261 Ac
0.000 0.226 0.274 Ac
0.500 0.239 0.739 Ac
0.500 0.000 0.500 As
0.000 0.000 0.000 As
0.000 0.500 0.500 As
```

Properties
energy relative to the elements, uncorrected: -1.40 eV/atom

Below is AcAsI after structural relaxation, with properties calculated at the PBE level.

The structure in POSCAR format:
```
AcAsI
1.0
-4.640 -1.957 -2.075
0.081 -4.463 -3.121
-2.065 -4.676 1.880
I Ac As
1 1 1
direct
0.500 0.500 0.500 I
0.250 0.250 0.250 Ac
0.000 0.000 0.000 As
```

Properties
distance to the lowest polymorph of the same formula: 0.342 eV/f.u.
energy relative to the elements, uncorrected: -0.80 eV/atom

Below is Ac2AsI after structural relaxation, with properties calculated at the PBE level.

The structure in POSCAR format:
```
Ac2AsI
1.0
-0.996 -1.562 4.101
-3.509 -6.337 -3.265
7.171 -4.070 0.191
Ac As I
4 2 2
direct
0.250 0.496 0.205 Ac
0.750 0.504 0.795 Ac
0.750 0.996 0.795 Ac
0.250 0.004 0.205 Ac
0.750 0.250 0.095 As
0.250 0.750 0.905 As
0.250 0.250 0.568 I
0.750 0.750 0.432 I
```

Properties
distance to the lowest polymorph of the same formula: 0.519 eV/f.u.
energy relative to the elements, uncorrected: -1.15 eV/atom

Below is Ac2AsI after structural relaxation, with properties calculated at the PBE level.

The structure in POSCAR format:
```
Ac2AsI
1.0
5.631 0.000 0.000
2.816 4.877 0.000
2.816 1.626 4.598
I Ac As
1 2 1
direct
0.000 0.000 0.000 I
0.250 0.250 0.250 Ac
0.750 0.750 0.750 Ac
0.500 0.500 0.500 As
```

Properties
distance to the lowest polymorph of the same formula: 0.943 eV/f.u.
energy relative to the elements, uncorrected: -1.04 eV/atom

Below is Ac3AsI3 after structural relaxation, with properties calculated at the PBE level.

The structure in POSCAR format:
```
Ac3AsI3
1.0
4.532 0.000 0.000
0.000 9.490 -0.078
0.000 0.557 13.130
Ac As I
6 2 6
direct
0.250 0.348 0.613 Ac
0.750 0.652 0.387 Ac
0.250 0.904 0.617 Ac
0.750 0.096 0.383 Ac
0.250 0.871 0.154 Ac
0.750 0.129 0.846 Ac
0.250 0.873 0.385 As
0.750 0.127 0.615 As
0.250 0.374 0.349 I
0.750 0.626 0.651 I
0.250 0.864 0.886 I
0.750 0.136 0.114 I
0.250 0.386 0.870 I
0.750 0.614 0.130 I
```

Properties
energy relative to the elements, uncorrected: -1.34 eV/atom

Below is Ac6As5I after structural relaxation, with properties calculated at the PBE level.

The structure in POSCAR format:
```
Ac6As5I
1.0
7.821 0.201 1.194
1.929 6.664 3.885
0.133 0.079 7.936
I Ac As
1 6 5
direct
0.000 0.000 0.000 I
0.739 0.088 0.355 Ac
0.261 0.558 0.355 Ac
0.261 0.267 0.000 Ac
0.739 0.733 0.000 Ac
0.739 0.442 0.645 Ac
0.261 0.912 0.645 Ac
0.500 0.160 0.679 As
0.000 0.333 0.335 As
0.500 0.500 0.000 As
0.000 0.667 0.665 As
0.500 0.840 0.321 As
```

Properties
energy relative to the elements, uncorrected: -1.45 eV/atom

DOS at the Fermi energy for the records above, in order: 3.65 3.87 2.47 0.71 0.81 0.72 4.67 1.65 0.76 0.86 0.84 0.72 0.00 4.34 1.66 3.39 7.84 4.31 1.64 2.96 4.20 4.16 3.06 7.19 3.31 states/eV per cell
Size of the total moment for the records above, in order: 0.00 0.00 0.00 0.00 0.00 0.00 0.00 0.00 0.00 0.00 0.00 0.00 0.00 1.03 1.02 0.00 0.00 0.00 0.00 0.00 0.93 0.00 0.00 0.00 0.00 μB/f.u.